No. 1
! YHfCuNi, optimized geometry, DFT PBE; values from VASP
! - Energy above the most stable polymorph in this dataset: 298 meV/atom
! - Calculated total energy: -25.36 eV/f.u.
! - Formation energy from the elements: 0.09 eV/atom
&SYSTEM
  ibrav = 0, nat = 4, ntyp = 4
/
ATOMIC_SPECIES
Cu 63.55 Cu.upf
Ni 58.69 Ni.upf
Hf 178.49 Hf.upf
Y 88.91 Y.upf
ATOMIC_POSITIONS angstrom
Cu -3.8144 5.5515 5.0380
Ni -2.5429 3.7010 3.3586
Hf -1.2715 1.8505 1.6793
Y 0.0000 0.0000 0.0000
CELL_PARAMETERS angstrom
0.6440 3.1377 3.2716
-2.6225 3.7510 0.1225
-3.1073 0.5133 3.3232

---

No. 2
! YHfCuNi, optimized geometry, DFT PBE; values from VASP
! - Energy above the most stable polymorph in this dataset: 0 meV/atom
! - Calculated total energy: -26.55 eV/f.u.
! - Formation energy from the elements: -0.21 eV/atom
&SYSTEM
  ibrav = 0, nat = 4, ntyp = 4
/
ATOMIC_SPECIES
Cu 63.55 Cu.upf
Hf 178.49 Hf.upf
Ni 58.69 Ni.upf
Y 88.91 Y.upf
ATOMIC_POSITIONS angstrom
Cu -2.1722 6.7582 4.8649
Hf -1.4482 4.5054 3.2433
Ni -0.7241 2.2527 1.6216
Y 0.0000 0.0000 0.0000
CELL_PARAMETERS angstrom
1.0203 2.3949 3.8945
-0.4822 4.6588 0.0786
-3.4344 1.9572 2.5134

---

No. 3
! Hf3Zn3Cu2Ni, optimized geometry, DFT PBE; values from VASP
! - Calculated total energy: -49.02 eV/f.u.
! - Formation energy from the elements: -0.26 eV/atom
&SYSTEM
  ibrav = 0, nat = 9, ntyp = 4
/
ATOMIC_SPECIES
Hf 178.49 Hf.upf
Ni 58.69 Ni.upf
Cu 63.55 Cu.upf
Zn 65.41 Zn.upf
ATOMIC_POSITIONS angstrom
Hf -0.1036 0.1262 4.0647
Hf -3.2959 -1.1593 -2.0836
Hf -2.2710 -0.6901 1.3234
Ni 0.0000 0.0000 0.0000
Cu -4.2703 0.4564 -0.1230
Cu -2.4953 1.1712 3.2955
Zn -4.7605 0.3951 2.3891
Zn -0.5920 1.7295 1.6768
Zn -1.9607 1.1784 -0.9593
CELL_PARAMETERS angstrom
-5.4977 -1.9337 -3.4756
-0.1728 0.2105 6.7801
-1.0952 3.3508 -0.1319

---

No. 4
! HfCuOs2, optimized geometry, DFT PBE; values from VASP
! - Calculated total energy: -35.59 eV/f.u.
! - Formation energy from the elements: 0.13 eV/atom
&SYSTEM
  ibrav = 0, nat = 4, ntyp = 3
/
ATOMIC_SPECIES
Cu 63.55 Cu.upf
Hf 178.49 Hf.upf
Os 190.23 Os.upf
ATOMIC_POSITIONS angstrom
Cu -1.4832 -2.1571 0.7182
Hf -2.9663 -4.3143 1.4364
Os -4.4495 -6.4714 2.1546
Os 0.0000 0.0000 0.0000
CELL_PARAMETERS angstrom
-0.6492 -3.0638 3.1371
-4.0986 -1.4467 0.8708
-1.1847 -4.1180 -1.1351

---

No. 5
! HfCu2Os, optimized geometry, DFT PBE; values from VASP
! - Calculated total energy: -28.58 eV/f.u.
! - Formation energy from the elements: 0.01 eV/atom
&SYSTEM
  ibrav = 0, nat = 4, ntyp = 3
/
ATOMIC_SPECIES
Os 190.23 Os.upf
Hf 178.49 Hf.upf
Cu 63.55 Cu.upf
ATOMIC_POSITIONS angstrom
Os -2.8629 -2.6579 -3.7137
Hf -1.4314 -1.3290 -1.8569
Cu 0.0000 0.0000 0.0000
Cu -4.2943 -3.9869 -5.5706
CELL_PARAMETERS angstrom
-0.5590 -3.8742 -2.0116
-4.0360 -1.3126 -1.1646
-1.1307 -0.1291 -4.2512

---

No. 6
! HfCuOsPb, optimized geometry, DFT PBE; values from VASP
! - Energy above the most stable polymorph in this dataset: 225 meV/atom
! - Calculated total energy: -27.03 eV/f.u.
&SYSTEM
  ibrav = 0, nat = 4, ntyp = 4
/
ATOMIC_SPECIES
Pb 207.20 Pb.upf
Hf 178.49 Hf.upf
Cu 63.55 Cu.upf
Os 190.23 Os.upf
ATOMIC_POSITIONS angstrom
Pb 0.0000 0.0000 0.0000
Hf -1.6286 0.6535 2.2693
Cu -4.8858 1.9606 6.8080
Os -3.2572 1.3071 4.5386
CELL_PARAMETERS angstrom
-0.3184 2.6657 3.8389
-4.1669 1.6436 1.3714
-2.0292 -1.6952 3.8670